## NaCdNi2F (GGA+U)

Data for crystalline NaCdNi2F at its relaxed geometry.

Cell lengths 4.8235, 6.2241, 4.8235 Å; angles 90.00, 90.00, 90.00 degrees
Last column: nearest neighbours and their distance in Å.
Fractional coordinates of all 5 atoms:
Ni1 0.0000 0.0000 0.5000  2 Cd 2.41
Ni2 0.5000 0.0000 0.0000  2 Cd 2.41
F1 0.5000 0.5000 0.5000  4 Na 3.41
Na1 0.0000 0.5000 0.0000  2 Cd 3.11, 4 F 3.41
Cd1 0.0000 0.0000 0.0000  4 Ni 2.41

Calculated values
Uncorrected energy (eV per atom): -1.451
Theoretical density (g/cm³): 3.1
Spin magnetization (μB/cell): 2.1